VASP calculation (PBE-GGA) on Pm2BePt6Rh after structural relaxation.

POSCAR file:
```
Pm2BePt6Rh
1.0
2.793 1.612 7.067
-2.793 1.612 7.067
0.000 -3.225 7.067
Pm Be Pt Rh
2 1 6 1
Cartesian
0.000 0.000 4.378 Pm
0.000 0.000 16.824 Pm
0.000 0.000 0.000 Be
0.000 -1.575 8.493 Pt
-1.364 0.788 8.493 Pt
-1.364 -0.788 12.709 Pt
1.364 0.788 8.493 Pt
1.364 -0.788 12.709 Pt
0.000 1.575 12.709 Pt
0.000 0.000 10.601 Rh
```

Calculated values
symmetry: R-3m, No. 166
total magnetic moment: 0.00 μB/cell

***

VASP calculation (PBE-GGA) on Pm2Be3Pt12Rh after structural relaxation.

POSCAR file:
```
Pm2Be3Pt12Rh
1.0
3.961 2.287 6.151
-3.961 2.287 6.151
0.000 -4.574 6.151
Pm Be Pt Rh
2 3 12 1
Cartesian
0.000 0.000 2.011 Pm
0.000 0.000 16.442 Pm
-1.980 -1.143 6.151 Be
-1.980 1.143 12.302 Be
0.000 2.287 6.151 Be
-2.071 -1.196 8.422 Pt
0.000 -2.092 5.528 Pt
-1.812 1.046 5.528 Pt
0.000 -2.391 10.032 Pt
-2.071 1.196 10.032 Pt
-1.812 -1.046 12.926 Pt
1.812 1.046 5.528 Pt
2.071 -1.196 8.422 Pt
0.000 2.391 8.422 Pt
1.812 -1.046 12.926 Pt
0.000 2.092 12.926 Pt
2.071 1.196 10.032 Pt
0.000 0.000 9.227 Rh
```

Calculated values
symmetry: R-3m, No. 166
total magnetic moment: 0.00 μB/cell

***

How do the records compare in formation enthalpy at 0 K? In the order shown, they have -0.66, -0.30 eV/atom.